1.
DFT (PBE) results for an optimized crystal structure of Nb2NiPt2.

Summary:
N(E_F) ... 4.40 states/eV per cell
Calculated total energy ... -40.42 eV/cell

Unit cell a=3.8422 b=4.9395 c=4.8888 alpha=80.58 beta=66.86 gamma=67.11
Closest atoms and distances in Å follow each position.
Element x y z (fractional)
Nb  0.4178  0.3636  0.8008  2 Ni 2.68, 6 Pt 2.72-2.87, 3 Nb 2.91-2.96
Nb  0.5822  0.6364  0.1992  2 Ni 2.68, 6 Pt 2.72-2.87, 3 Nb 2.91-2.96
Ni  0.0000  0.0000  0.0000  4 Nb 2.68, 6 Pt 2.76-2.90
Pt  0.2043  0.2047  0.3866  6 Nb 2.72-2.87, 3 Ni 2.76-2.90, 3 Pt 2.86-2.89
Pt  0.7957  0.7953  0.6134  6 Nb 2.72-2.87, 3 Ni 2.76-2.90, 3 Pt 2.86-2.89

***

2.
DFT (PBE) results for an optimized crystal structure of AcTb3Pr3.

Summary:
N(E_F) ... 41.74 states/eV per cell
Calculated total energy ... -125.47 eV/cell

Unit cell a=17.9465 b=8.5660 c=11.0305 alpha=90.29 beta=129.06 gamma=118.17
Closest atoms and distances in Å follow each position.
Element x y z (fractional)
Ac  0.9611  0.7706  0.0019  2 Tb 3.50, 1 Pr 3.64, 3 Ac 3.70-3.75
Ac  0.2661  0.2337  0.2518  3 Tb 3.51-3.70, 2 Pr 3.55-3.76, 2 Ac 3.70-3.86
Ac  0.8119  0.9662  0.9987  4 Tb 3.60-3.83, 1 Pr 3.70, 1 Ac 3.75
Ac  0.0134  0.9825  0.7491  3 Tb 3.51-3.70, 2 Pr 3.56-3.77, 2 Ac 3.70-3.86
Tb  0.4981  0.7447  0.4757  3 Pr 3.30-3.54, 1 Ac 3.51, 3 Tb 3.51-3.66
Tb  0.5130  0.2257  0.9997  6 Pr 3.49-3.65, 6 Tb 3.56-3.64
Tb  0.9934  0.4909  0.2366  5 Pr 3.38-3.78, 2 Ac 3.50-3.60, 3 Tb 3.58-3.63
Tb  0.2691  0.9855  0.5264  3 Pr 3.38-3.65, 4 Tb 3.46-3.65, 1 Ac 3.70
Tb  0.7293  0.7575  0.2355  6 Pr 3.44-3.73, 4 Tb 3.61-3.73, 1 Ac 3.83
Tb  0.7583  0.2562  0.7645  5 Pr 3.38-3.79, 2 Ac 3.50-3.60, 3 Tb 3.58-3.63
Tb  0.2583  0.5164  0.9997  5 Pr 3.41-3.57, 4 Tb 3.45-3.66, 2 Ac 3.67-3.68
Tb  0.4574  0.0220  0.2382  5 Tb 3.45-3.67, 4 Pr 3.46-3.64
Tb  0.4937  0.5219  0.7640  6 Pr 3.44-3.75, 4 Tb 3.62-3.74, 1 Ac 3.81
Tb  0.0216  0.2671  0.5241  3 Pr 3.30-3.55, 3 Tb 3.51-3.66, 1 Ac 3.51
Tb  0.2190  0.7820  0.7599  5 Tb 3.45-3.67, 4 Pr 3.46-3.64
Tb  0.7426  0.4585  0.4733  3 Pr 3.38-3.65, 4 Tb 3.47-3.65, 1 Ac 3.70
Pr  0.2278  0.7339  0.2272  5 Tb 3.38-3.78, 2 Pr 3.49-3.71
Pr  0.7328  0.4823  0.0002  4 Pr 3.33-3.42, 5 Tb 3.49-3.61, 2 Ac 3.64-3.70
Pr  0.4896  0.4640  0.2242  4 Pr 3.44-3.59, 6 Tb 3.52-3.73, 1 Ac 3.76
Pr  0.5277  0.9813  0.7570  4 Tb 3.30-3.65, 3 Pr 3.42-3.69
Pr  0.5599  0.3598  0.5774  2 Pr 3.33-3.53, 3 Tb 3.39-3.49, 1 Ac 3.55
Pr  0.4733  0.7662  0.9999  6 Tb 3.41-3.65, 6 Pr 3.57-3.79
Pr  0.9821  0.7820  0.4236  2 Pr 3.34-3.53, 3 Tb 3.39-3.49, 1 Ac 3.56
Pr  0.2359  0.4916  0.5085  3 Tb 3.38-3.52, 3 Pr 3.60-3.71
Pr  0.7699  0.2233  0.2414  5 Tb 3.30-3.69, 3 Pr 3.42-3.68
Pr  0.2652  0.2383  0.7770  4 Pr 3.44-3.60, 6 Tb 3.51-3.75, 1 Ac 3.77
Pr  0.7277  0.9855  0.4909  3 Tb 3.38-3.51, 3 Pr 3.59-3.71
Pr  0.0019  0.5106  0.7736  5 Tb 3.38-3.79, 2 Pr 3.49-3.71

***

3.
DFT (PBE) results for an optimized crystal structure of LaCuSn.

Summary:
N(E_F) ... 1.62 states/eV per cell
Calculated total energy ... -28.63 eV/cell

Unit cell a=6.9283 b=4.8883 c=4.5882 alpha=90.00 beta=90.01 gamma=90.02
Closest atoms and distances in Å follow each position.
Element x y z (fractional)
Sn  0.6412  0.6738  0.2165  2 Cu 2.64
Sn  0.9645  0.1734  0.2166  2 Cu 2.64
Cu  0.3028  0.9235  0.2154  2 Cu 2.44, 2 Sn 2.64
Cu  0.3028  0.4235  0.2154  2 Cu 2.44, 2 Sn 2.64
La  0.5782  0.1738  0.7165  4 Cu 3.22-3.23, 6 Sn 3.38-3.52
La  0.0275  0.6735  0.7165  4 Cu 3.22-3.23, 6 Sn 3.38-3.53